[1]
Computed, not measured: CsErHgS3 after structural relaxation at the PBE-GGA level of DFT.

Cell: 17.775 4.099 9.243 Å, 90.00 101.03 90.00°
Space group C2/m (No. 12)
Symmetry-distinct sites (fractional):
Cs  0.151  0.000  0.062 (multiplicity 4)
Er  0.168  0.000  0.564 (multiplicity 4)
Hg  0.014  0.500  0.726 (multiplicity 4)
S  0.000  0.000  0.500 (multiplicity 2)
S  0.000  0.500  0.000 (multiplicity 2)
S  0.162  0.500  0.755 (multiplicity 4)
S  0.177  0.500  0.374 (multiplicity 4)

Output
The value obtained for the total energy is -4.18 eV per atom.

---

[2]
Computed, not measured: Zn2Ge after structural relaxation at the PBE-GGA level of DFT.

Cell: 4.733 8.628 4.978 Å, 90.00 90.00 90.00°
Space group Pmmn (No. 59, origin choice 2)
Symmetry-distinct sites (fractional):
Zn  0.250  0.090  0.072 (multiplicity 4)
Zn  0.250  0.250  0.584 (multiplicity 2)
Zn  0.250  0.750  0.090 (multiplicity 2)
Ge  0.250  0.582  0.590 (multiplicity 4)

Output
The value obtained for the total energy is -2.21 eV per atom.

---

[3]
Computed, not measured: Ni2BOs after structural relaxation at the PBE-GGA level of DFT.

Cell: 5.532 5.532 5.532 Å, 90.00 90.00 90.00°
Space group F-43m (No. 216)
Symmetry-distinct sites (fractional):
Ni  0.000  0.000  0.000 (multiplicity 4)
Ni  0.250  0.250  0.250 (multiplicity 4)
B  0.000  0.000  0.500 (multiplicity 4)
Os  0.250  0.250  0.750 (multiplicity 4)

Output
The value obtained for the total energy is -6.96 eV per atom.

---

[4]
Computed, not measured: ZrUCo after structural relaxation at the PBE-GGA level of DFT.

Cell: 6.213 6.213 6.213 Å, 90.00 90.00 90.00°
Space group F-43m (No. 216)
Symmetry-distinct sites (fractional):
Zr  0.000  0.000  0.000 (multiplicity 4)
U  0.250  0.250  0.750 (multiplicity 4)
Co  0.000  0.000  0.500 (multiplicity 4)

Output
For the calculated formation energy, the calculation gives 0.80 eV/atom. For the energy above the most stable polymorph in this dataset, the calculation gives 0.457 eV per atom.

---

[5]
Computed, not measured: AlSb2Ir after structural relaxation at the PBE-GGA level of DFT.

Cell: 6.887 6.887 6.887 Å, 90.00 90.00 90.00°
Space group F-43m (No. 216)
Symmetry-distinct sites (fractional):
Al  0.000  0.000  0.000 (multiplicity 4)
Sb  0.000  0.000  0.500 (multiplicity 4)
Sb  0.250  0.250  0.750 (multiplicity 4)
Ir  0.250  0.250  0.250 (multiplicity 4)

Output
The value obtained for the total energy is -4.83 eV per atom.

---

[6]
Computed, not measured: ZrFeCuBi after structural relaxation at the PBE-GGA level of DFT.

Cell: 6.694 6.694 6.694 Å, 90.00 90.00 90.00°
Space group F-43m (No. 216)
Symmetry-distinct sites (fractional):
Zr  0.000  0.000  0.000 (multiplicity 4)
Fe  0.250  0.250  0.250 (multiplicity 4)
Cu  0.000  0.000  0.500 (multiplicity 4)
Bi  0.250  0.250  0.750 (multiplicity 4)

Output
For the energy above the most stable polymorph in this dataset, the calculation gives 0.181 eV per atom.

---

Please write out number 5 again, unchanged.
Computed, not measured: AlSb2Ir after structural relaxation at the PBE-GGA level of DFT.

Cell: 6.887 6.887 6.887 Å, 90.00 90.00 90.00°
Space group F-43m (No. 216)
Symmetry-distinct sites (fractional):
Al  0.000  0.000  0.000 (multiplicity 4)
Sb  0.000  0.000  0.500 (multiplicity 4)
Sb  0.250  0.250  0.750 (multiplicity 4)
Ir  0.250  0.250  0.250 (multiplicity 4)

Output
The value obtained for the total energy is -4.83 eV per atom.